A relaxed ZrMn2Pb crystal. Source: Alexandria, functional PBEsol.

The structure in extended XYZ format:
```
4
Lattice="1.888 1.090 5.742 -1.888 1.090 5.742 0.000 -2.180 5.742" Properties=species:S:1:pos:R:3 pbc="T T T"
Zr 0.000 0.000 0.000
Mn 0.000 0.000 7.583
Mn 0.000 0.000 13.136
Pb 0.000 0.000 3.516
```

Symmetry: R3m
DFT formation energy (meV/atom): 180